Density functional theory data (PBE) for a relaxed structure of YErAlIn.

Results
ΔE to the lowest computed polymorph = 12 meV/atom
D(E_F) = 1.70 states/eV/cell
crystal system = cubic
formation energy from the elements = -0.42 eV per atom

Cell lengths 5.1991, 5.1991, 5.1991 Å; angles 60.00, 60.00, 60.00 degrees
With the nearest neighbours (Å) after each atom.
Sites, in units of the cell vectors:
Y (0.0000, 0.0000, 0.0000)  4 In 3.18, 4 Al 3.18
Er (0.5000, 0.5000, 0.5000)  4 Al 3.18, 4 In 3.18
Al (0.7500, 0.7500, 0.7500)  4 Er 3.18, 4 Y 3.18
In (0.2500, 0.2500, 0.2500)  4 Er 3.18, 4 Y 3.18